[1]
Computed, not measured: a PBEsol-optimized structure of BeCoN2 at the SCAN level of DFT.

- Calculated total energy: -37.81 eV per cell
- ΔE_f (raw): 2.43 eV per formula unit

The structure in CIF format:
```
data_BeCoN2
_chemical_formula_sum 'Be1 Co1 N2'
_cell_length_a 5.9419
_cell_length_b 5.9419
_cell_length_c 5.9419
_cell_angle_alpha 24.32
_cell_angle_beta 24.32
_cell_angle_gamma 24.32
_symmetry_space_group_name_H-M 'P 1'
_symmetry_Int_Tables_number 1
_symmetry_space_group_name_Hall 'P 1'
loop_
_atom_site_label
_atom_site_type_symbol
_atom_site_fract_x
_atom_site_fract_y
_atom_site_fract_z
Be1 Be 0.0000 0.0000 0.0000
Co1 Co 0.5000 0.5000 0.5000
N1 N 0.3995 0.3995 0.3995
N2 N 0.6005 0.6005 0.6005
```

[2]
Computed, not measured: a PBEsol-optimized structure of BeCo2N at the SCAN level of DFT.

- Calculated total energy: -95.00 eV per cell
- ΔE_f (raw): 0.75 eV per formula unit

The structure in CIF format:
```
data_BeCo2N
_chemical_formula_sum 'Be2 Co4 N2'
_cell_length_a 4.8731
_cell_length_b 4.8731
_cell_length_c 4.8731
_cell_angle_alpha 97.66
_cell_angle_beta 97.66
_cell_angle_gamma 137.17
_symmetry_space_group_name_H-M 'P 1'
_symmetry_Int_Tables_number 1
_symmetry_space_group_name_Hall 'P 1'
loop_
_atom_site_label
_atom_site_type_symbol
_atom_site_fract_x
_atom_site_fract_y
_atom_site_fract_z
Be1 Be 0.0000 0.0000 0.0000
Be2 Be 0.7500 0.2500 0.5000
Co1 Co 0.2641 0.1250 0.6391
Co2 Co 0.3750 0.7359 0.8609
Co3 Co 0.4859 0.6250 0.3609
Co4 Co 0.8750 0.5141 0.1391
N1 N 0.2500 0.7500 0.5000
N2 N 0.5000 0.5000 0.0000
```

[3]
Computed, not measured: a PBEsol-optimized structure of BeCoNiN2 at the SCAN level of DFT.

- Calculated total energy: -50.11 eV per cell
- ΔE_f (raw): 6.31 eV per formula unit

The structure in CIF format:
```
data_BeCoNiN2
_chemical_formula_sum 'Be1 Co1 Ni1 N2'
_cell_length_a 3.3954
_cell_length_b 3.3954
_cell_length_c 3.9098
_cell_angle_alpha 90.00
_cell_angle_beta 90.00
_cell_angle_gamma 90.00
_symmetry_space_group_name_H-M 'P 1'
_symmetry_Int_Tables_number 1
_symmetry_space_group_name_Hall 'P 1'
loop_
_atom_site_label
_atom_site_type_symbol
_atom_site_fract_x
_atom_site_fract_y
_atom_site_fract_z
Be1 Be 0.0000 0.0000 0.0000
Co1 Co 0.5000 0.5000 0.5000
Ni1 Ni 0.0000 0.0000 0.5000
N1 N 0.0000 0.5000 0.0000
N2 N 0.5000 0.0000 0.0000
```